[1]
Ce2NdSi (PBE, relaxed); density of states at the Fermi level = 2.296 states/eV/atom; space group = Cmcm, No. 63; E = -46.75 eV/cell; excess energy over the best structure of this formula in the dataset = 0.000 eV/atom; density = 6826 kg/m3
1.0
1.982 -5.605 0.000
1.982 5.605 0.000
0.000 0.000 9.911
Ce Nd Si
4 2 2
Direct
0.167 0.833 0.531 Ce
0.167 0.833 0.969 Ce
0.833 0.167 0.031 Ce
0.833 0.167 0.469 Ce
0.452 0.548 0.750 Nd
0.548 0.452 0.250 Nd
0.259 0.741 0.250 Si
0.741 0.259 0.750 Si



[2]
AgIr2W (PBE, relaxed); density of states at the Fermi level = 0.980 states/eV/atom; space group = Cm, No. 8; E = -32.66 eV/cell; excess energy over the best structure of this formula in the dataset = 0.213 eV/atom; density = 17982 kg/m3; calculated formation energy = 216 meV per atom
1.0
4.747 -1.384 0.000
4.747 1.384 0.000
-0.908 0.000 4.751
Ag Ir W
1 2 1
Direct
0.000 0.000 0.000 Ag
0.484 0.484 0.502 Ir
0.757 0.757 0.224 Ir
0.233 0.233 0.708 W



[3]
PtRh3O (PBE, relaxed); density of states at the Fermi level = 1.581 states/eV/atom; space group = Pm-3m, No. 221; E = -31.82 eV/cell; excess energy over the best structure of this formula in the dataset = 0.000 eV/atom; density = 12410 kg/m3
1.0
4.113 0.000 0.000
0.000 4.113 0.000
0.000 0.000 4.113
Pt Rh O
1 3 1
Direct
0.000 0.000 0.000 Pt
0.000 0.500 0.500 Rh
0.500 0.000 0.500 Rh
0.500 0.500 0.000 Rh
0.500 0.500 0.500 O



[4]
PrSmZnCo (PBE, relaxed); density of states at the Fermi level = 0.662 states/eV/atom; space group = F-43m, No. 216; E = -18.32 eV/cell; excess energy over the best structure of this formula in the dataset = 0.037 eV/atom; density = 7641 kg/m3; calculated formation energy = -110 meV per atom
1.0
0.000 3.561 3.561
3.561 0.000 3.561
3.561 3.561 0.000
Pr Sm Zn Co
1 1 1 1
Direct
0.000 0.000 0.000 Pr
0.500 0.500 0.500 Sm
0.250 0.250 0.250 Zn
0.750 0.750 0.750 Co



[5]
ReRu (PBE, relaxed); density of states at the Fermi level = 1.173 states/eV/atom; space group = P4/nmm, No. 129; E = -41.91 eV/cell; density = 16187 kg/m3; calculated formation energy = 386 meV per atom
1.0
3.231 0.000 0.000
0.000 3.231 0.000
0.000 0.000 5.645
Re Ru
2 2
Direct
0.250 0.250 0.131 Re
0.750 0.750 0.869 Re
0.250 0.250 0.619 Ru
0.750 0.750 0.381 Ru



[6]
Be4VPd5 (PBE, relaxed); density of states at the Fermi level = 0.293 states/eV/atom; space group = P4/mmm, No. 123; E = -55.15 eV/cell; density = 8640 kg/m3; calculated formation energy = -517 meV per atom
1.0
2.792 0.000 0.000
0.000 2.792 0.000
0.000 0.000 15.263
Be V Pd
4 1 5
Direct
0.000 0.000 0.094 Be
0.000 0.000 0.284 Be
0.000 0.000 0.716 Be
0.000 0.000 0.906 Be
0.000 0.000 0.500 V
0.500 0.500 0.000 Pd
0.500 0.500 0.186 Pd
0.500 0.500 0.375 Pd
0.500 0.500 0.625 Pd
0.500 0.500 0.814 Pd



[7]
NaHf2Al2 (PBE, relaxed); density of states at the Fermi level = 1.272 states/eV/atom; space group = I4/mmm, No. 139; E = -27.15 eV/cell; excess energy over the best structure of this formula in the dataset = 0.307 eV/atom; density = 6047 kg/m3; calculated formation energy = 312 meV per atom
1.0
-2.148 2.148 6.455
2.148 -2.148 6.455
2.148 2.148 -6.455
Na Hf Al
1 2 2
Direct
0.000 0.000 0.000 Na
0.250 0.750 0.500 Hf
0.750 0.250 0.500 Hf
0.399 0.399 0.000 Al
0.601 0.601 0.000 Al



[8]
Pr2ScTl3S6 (PBE, relaxed); density of states at the Fermi level = 0.000 states/eV/atom; space group = C2/m, No. 12; E = -64.59 eV/cell; density = 5792 kg/m3
1.0
3.544 -6.124 0.000
3.544 6.124 0.000
-2.353 0.000 7.479
Pr Sc Tl S
2 1 3 6
Direct
0.167 0.833 0.000 Pr
0.833 0.167 0.000 Pr
0.500 0.500 0.000 Sc
0.000 0.000 0.500 Tl
0.331 0.669 0.500 Tl
0.669 0.331 0.500 Tl
0.124 0.434 0.802 S
0.257 0.257 0.204 S
0.434 0.124 0.802 S
0.566 0.876 0.198 S
0.743 0.743 0.796 S
0.876 0.566 0.198 S



- The highest density of states at the Fermi level belongs to which entry?
  Ce2NdSi



- Among the records above, which one has the lowest density?
  Pr2ScTl3S6